# CsGdHgS3, optimized geometry, DFT GGA-PBE
# volume = 28.36 Å³ per atom
# total DFT energy (no corrections) = -4.194 eV/atom
data_CsGdHgS3
_cell_length_a 17.978
_cell_length_b 4.169
_cell_length_c 9.260
_cell_angle_alpha 90.00
_cell_angle_beta 101.22
_cell_angle_gamma 90.00
_space_group_name_H-M_alt 'C 1 2/m 1'
_space_group_IT_number 12
loop_
_space_group_symop_operation_xyz
'x,y,z'
'-x,-y,-z'
'-x,y,-z'
'x,-y,z'
'x+1/2,y+1/2,z'
'-x+1/2,-y+1/2,-z'
'-x+1/2,y+1/2,-z'
'x+1/2,-y+1/2,z'
loop_
_atom_site_label
_atom_site_type_symbol
_atom_site_fract_x
_atom_site_fract_y
_atom_site_fract_z
_atom_site_occupancy
Cs1 Cs 0.150 0.000 0.064 1
Gd1 Gd 0.166 0.000 0.564 1
Hg1 Hg 0.015 0.500 0.727 1
S1 S 0.000 0.000 0.500 1
S2 S 0.000 0.500 0.000 1
S3 S 0.161 0.500 0.760 1
S4 S 0.176 0.500 0.372 1